## TiCdSiSe2 (GGA-PBE)

Data for an optimized crystal structure of TiCdSiSe2.

For the uncorrected formation energy, the calculation gives 0.940 eV per atom. Its mass density is 4.3 g/cm³. The total energy comes out at -3.300 eV/atom.

It has space group P4/mmm (No. 123), with a = 5.2505 Å, b = 5.2505 Å, c = 4.8089 Å, α = 90.00°, β = 90.00° and γ = 90.00°. The distinct sites, in fractional coordinates, are Ti at (0.0000, 0.0000, 0.0000), Cd at (0.5000, 0.5000, 0.5000), Si at (0.5000, 0.5000, 0.0000) and Se at (0.0000, 0.5000, 0.5000).

=====

## VCd2SiSe (GGA-PBE)

Data for an optimized crystal structure of VCd2SiSe.

For the uncorrected formation energy, the calculation gives 0.714 eV per atom. Its mass density is 4.9 g/cm³. The total energy comes out at -3.257 eV/atom.

It has space group P4/mmm (No. 123), with a = 5.3548 Å, b = 5.3548 Å, c = 4.5570 Å, α = 90.00°, β = 90.00° and γ = 90.00°. The distinct sites, in fractional coordinates, are V at (0.0000, 0.0000, 0.0000), Cd at (0.0000, 0.5000, 0.0000), Si at (0.5000, 0.5000, 0.5000) and Se at (0.0000, 0.0000, 0.5000).

=====

## Sm2CdSe (GGA-PBE)

Data for an optimized crystal structure of Sm2CdSe.

For the uncorrected formation energy, the calculation gives -0.937 eV per atom. Its mass density is 7.2 g/cm³. The total energy comes out at -4.397 eV/atom. The value obtained for the energy above the most stable polymorph in this dataset is 0.069 eV/atom.

It has space group R3m (No. 160, hexagonal axes), with a = 4.0141 Å, b = 4.0141 Å, c = 24.4995 Å, α = 90.00°, β = 90.00° and γ = 120.00°. The distinct sites, in fractional coordinates, are Sm at (0.0000, 0.0000, 0.0000), Sm at (0.0000, 0.0000, 0.1892), Cd at (0.0000, 0.0000, 0.4279) and Se at (0.0000, 0.0000, 0.5960).

=====

## Sm2CdSe4 (GGA-PBE)

Data for an optimized crystal structure of Sm2CdSe4.

For the uncorrected formation energy, the calculation gives -1.496 eV per atom. Its mass density is 5.6 g/cm³. The total energy comes out at -4.966 eV/atom. The value obtained for the energy above the most stable polymorph in this dataset is 0.000 eV/atom.

It has space group Fd-3m (No. 227, origin choice 2), with a = 11.9878 Å, b = 11.9878 Å, c = 11.9878 Å, α = 90.00°, β = 90.00° and γ = 90.00°. The distinct sites, in fractional coordinates, are Sm at (0.0000, 0.0000, 0.0000), Cd at (0.1250, 0.1250, 0.6250) and Se at (0.0057, 0.0057, 0.2443).

=====

## Sm2CdSe4 (GGA-PBE)

Data for an optimized crystal structure of Sm2CdSe4.

For the uncorrected formation energy, the calculation gives -1.428 eV per atom. Its mass density is 6.8 g/cm³. The total energy comes out at -4.898 eV/atom. The value obtained for the energy above the most stable polymorph in this dataset is 0.068 eV/atom.

It has space group I-42d (No. 122), with a = 8.7996 Å, b = 8.7996 Å, c = 9.1614 Å, α = 90.00°, β = 90.00° and γ = 90.00°. The distinct sites, in fractional coordinates, are Sm at (0.1408, 0.7500, 0.1250), Cd at (0.0000, 0.0000, 0.5000) and Se at (0.0682, 0.6947, 0.4350).

=====

## Sm6CdSe4 (GGA-PBE)

Data for an optimized crystal structure of Sm6CdSe4.

For the uncorrected formation energy, the calculation gives -1.375 eV per atom. Its mass density is 7.2 g/cm³. The total energy comes out at -5.299 eV/atom.

It has space group Cmcm (No. 63), with a = 4.1654 Å, b = 13.8084 Å, c = 21.2833 Å, α = 90.00°, β = 90.00° and γ = 90.00°. The distinct sites, in fractional coordinates, are Sm at (0.0000, 0.0000, 0.0000), Sm at (0.0000, 0.1659, 0.2500), Sm at (0.0000, 0.2719, 0.5853), Sm at (0.0000, 0.4567, 0.1625), Cd at (0.0000, 0.1613, 0.7500), Se at (0.0000, 0.0918, 0.1233) and Se at (0.0000, 0.3622, 0.0399).